(1)
Density functional theory data (PBE) for a geometry-optimized ZrCdAg structure.

Summary:
As for the formation energy: -0.2 eV/f.u. The spin magnetization comes out at 0.0 μB/cell. The density of states at the Fermi level is 2.385 states/eV/f.u.

a b c (Å): 3.127 3.127 12.507
angles (deg): 90.00 90.00 90.00
Space group I4mm (No. 107)
One atom of each set of equivalent atoms:
Zr (0.000, 0.000, 0.000) (multiplicity 2)
Cd (0.000, 0.000, 0.678) (multiplicity 2)
Ag (0.000, 0.000, 0.335) (multiplicity 2)

=====

(2)
Density functional theory data (PBE) for a geometry-optimized ThTiCd2 structure.

Summary:
As for the formation energy: 0.1 eV/f.u. The spin magnetization comes out at 1.0 μB/cell. The density of states at the Fermi level is 3.658 states/eV/f.u.

a b c (Å): 3.230 3.230 8.849
angles (deg): 90.00 90.00 90.00
Space group P4/mmm (No. 123)
One atom of each set of equivalent atoms:
Th (0.000, 0.000, 0.000) (multiplicity 1)
Ti (0.000, 0.000, 0.500) (multiplicity 1)
Cd (0.500, 0.500, 0.284) (multiplicity 2)

=====

In order of appearance, mass density = 8459; 9079 kg/m³.